A) The following is a DFT calculation (PBE-GGA) of crystalline CeTlPd at its relaxed geometry.

As for the volume: 23.512 Å³/atom. Its density is 10.62 g/cm³. The crystal system is hexagonal. The value obtained for the density of states at the Fermi level is 5.09 states/eV per cell. For the total magnetic moment, the calculation gives 0.60 μB per formula unit.

a = 3.446 Å, b = 4.862 Å, c = 4.862 Å
α = 120.00°, β = 90.00°, γ = 90.00°
Sites, in units of the cell vectors:
Tl1 0.167 0.000 0.000
Pd1 0.166 0.333 0.667
Ce1 0.667 0.667 0.333

=====

B) The following is a DFT calculation (PBE-GGA) of crystalline CeTlPd at its relaxed geometry.

As for the volume: 23.700 Å³/atom. Its density is 10.53 g/cm³. The crystal system is hexagonal. The value obtained for the density of states at the Fermi level is 16.67 states/eV per cell. For the total magnetic moment, the calculation gives 0.59 μB per formula unit.

a = 7.891 Å, b = 7.891 Å, c = 3.956 Å
α = 90.00°, β = 90.00°, γ = 120.00°
Sites, in units of the cell vectors:
Ce1 0.592 0.000 0.500
Ce2 0.408 0.408 0.500
Ce3 0.000 0.592 0.500
Tl1 0.262 0.000 0.000
Tl2 0.738 0.738 0.000
Tl3 0.000 0.262 0.000
Pd1 0.333 0.667 0.000
Pd2 0.667 0.333 0.000
Pd3 0.000 0.000 0.500

=====

Short version: A) is the least stable of them.

=====

A) The following is a DFT calculation (PBE-GGA) of crystalline CeTm2Pd at its relaxed geometry.

As for the volume: 25.458 Å³/atom. Its density is 9.53 g/cm³. The crystal system is tetragonal. The value obtained for the density of states at the Fermi level is 6.78 states/eV per cell. For the total magnetic moment, the calculation gives 0.96 μB per formula unit.

a = 3.482 Å, b = 3.482 Å, c = 8.399 Å
α = 90.00°, β = 90.00°, γ = 90.00°
Sites, in units of the cell vectors:
Tm1 0.000 0.000 0.801
Tm2 0.000 0.000 0.199
Pd1 0.500 0.500 0.000
Ce1 0.500 0.500 0.500

=====

B) The following is a DFT calculation (PBE-GGA) of crystalline CeTm2Pd at its relaxed geometry.

As for the volume: 27.164 Å³/atom. Its density is 8.93 g/cm³. The crystal system is trigonal. The value obtained for the density of states at the Fermi level is 7.45 states/eV per cell. For the total magnetic moment, the calculation gives 1.45 μB per formula unit.

a = 3.581 Å, b = 3.581 Å, c = 10.002 Å
α = 79.69°, β = 79.69°, γ = 60.00°
Sites, in units of the cell vectors:
Ce1 0.501 0.501 0.497
Tm1 0.066 0.066 0.803
Tm2 0.267 0.267 0.199
Pd1 0.666 0.666 0.001

=====

Short version: B) is the least stable of them.

=====

A) The following is a DFT calculation (PBE-GGA) of crystalline CeY2Pd at its relaxed geometry.

As for the volume: 26.702 Å³/atom. Its density is 6.60 g/cm³. The crystal system is tetragonal. The value obtained for the density of states at the Fermi level is 7.20 states/eV per cell. For the total magnetic moment, the calculation gives 1.06 μB per formula unit.

a = 3.523 Å, b = 3.523 Å, c = 8.607 Å
α = 90.00°, β = 90.00°, γ = 90.00°
Sites, in units of the cell vectors:
Y1 0.000 0.000 0.801
Y2 0.000 0.000 0.199
Pd1 0.500 0.500 0.000
Ce1 0.500 0.500 0.500

=====

B) The following is a DFT calculation (PBE-GGA) of crystalline CeY2Pd at its relaxed geometry.

As for the volume: 28.858 Å³/atom. Its density is 6.10 g/cm³. The crystal system is trigonal. The value obtained for the density of states at the Fermi level is 8.46 states/eV per cell. For the total magnetic moment, the calculation gives 1.67 μB per formula unit.

a = 3.704 Å, b = 3.704 Å, c = 9.946 Å
α = 79.27°, β = 79.27°, γ = 60.00°
Sites, in units of the cell vectors:
Ce1 0.501 0.501 0.497
Y1 0.065 0.065 0.805
Y2 0.268 0.268 0.196
Pd1 0.666 0.666 0.001

=====

Short version: B) is the least stable of them.

=====

A) The following is a DFT calculation (PBE-GGA) of crystalline CeZn4Pd at its relaxed geometry.

As for the volume: 18.393 Å³/atom. Its density is 7.65 g/cm³. The crystal system is orthorhombic. The value obtained for the density of states at the Fermi level is 14.00 states/eV per cell. For the total magnetic moment, the calculation gives 0.59 μB per formula unit.

a = 4.016 Å, b = 6.997 Å, c = 7.854 Å
α = 90.00°, β = 90.00°, γ = 90.00°
Sites, in units of the cell vectors:
Ce1 0.000 0.615 0.750
Ce2 0.000 0.385 0.250
Zn1 0.000 0.000 0.500
Zn2 0.000 0.000 0.000
Zn3 0.500 0.951 0.750
Zn4 0.500 0.049 0.250
Zn5 0.500 0.698 0.044
Zn6 0.500 0.302 0.956
Zn7 0.500 0.698 0.456
Zn8 0.500 0.302 0.544
Pd1 0.000 0.216 0.750
Pd2 0.000 0.784 0.250

=====

B) The following is a DFT calculation (PBE-GGA) of crystalline CeZn4Pd at its relaxed geometry.

As for the volume: 17.540 Å³/atom. Its density is 8.02 g/cm³. The crystal system is cubic. The value obtained for the density of states at the Fermi level is 8.20 states/eV per cell. For the total magnetic moment, the calculation gives 1.27 μB per formula unit.

a = 5.299 Å, b = 5.299 Å, c = 5.299 Å
α = 60.00°, β = 60.00°, γ = 60.00°
Sites, in units of the cell vectors:
Zn1 0.624 0.624 0.129
Zn2 0.624 0.129 0.624
Zn3 0.624 0.624 0.624
Zn4 0.129 0.624 0.624
Pd1 0.250 0.250 0.250
Ce1 0.000 0.000 0.000

=====

Short version: B) is the least stable of them.

=====

A) The following is a DFT calculation (PBE-GGA) of crystalline Ce2ZnPd at its relaxed geometry.

As for the volume: 21.393 Å³/atom. Its density is 8.77 g/cm³. The crystal system is tetragonal. The value obtained for the density of states at the Fermi level is 6.95 states/eV per cell. For the total magnetic moment, the calculation gives 0.00 μB per formula unit.

a = 4.359 Å, b = 4.431 Å, c = 4.431 Å
α = 90.00°, β = 90.00°, γ = 90.00°
Sites, in units of the cell vectors:
Zn1 0.500 0.000 0.000
Pd1 0.500 0.500 0.500
Ce1 0.000 0.000 0.500
Ce2 0.000 0.500 0.000

=====

B) The following is a DFT calculation (PBE-GGA) of crystalline Ce2ZnPd at its relaxed geometry.

As for the volume: 23.352 Å³/atom. Its density is 8.04 g/cm³. The crystal system is cubic. The value obtained for the density of states at the Fermi level is 11.91 states/eV per cell. For the total magnetic moment, the calculation gives 1.50 μB per formula unit.

a = 5.093 Å, b = 5.093 Å, c = 5.093 Å
α = 60.00°, β = 60.00°, γ = 60.00°
Sites, in units of the cell vectors:
Zn1 0.500 0.500 0.500
Pd1 0.000 0.000 0.000
Ce1 0.250 0.250 0.250
Ce2 0.750 0.750 0.750

=====

C) The following is a DFT calculation (PBE-GGA) of crystalline Ce2ZnPd at its relaxed geometry.

As for the volume: 22.079 Å³/atom. Its density is 8.50 g/cm³. The crystal system is trigonal. The value obtained for the density of states at the Fermi level is 8.26 states/eV per cell. For the total magnetic moment, the calculation gives 0.00 μB per formula unit.

a = 3.006 Å, b = 3.006 Å, c = 11.415 Å
α = 82.43°, β = 82.43°, γ = 60.00°
Sites, in units of the cell vectors:
Zn1 0.000 0.000 0.000
Pd1 0.500 0.500 0.500
Ce1 0.092 0.092 0.724
Ce2 0.908 0.908 0.276

=====

D) The following is a DFT calculation (PBE-GGA) of crystalline Ce2ZnPd at its relaxed geometry.

As for the volume: 21.856 Å³/atom. Its density is 8.59 g/cm³. The crystal system is orthorhombic. The value obtained for the density of states at the Fermi level is 16.33 states/eV per cell. For the total magnetic moment, the calculation gives 0.79 μB per formula unit.

a = 6.588 Å, b = 6.118 Å, c = 6.118 Å
α = 75.31°, β = 57.42°, γ = 57.42°
Sites, in units of the cell vectors:
Ce1 0.199 0.301 0.801
Ce2 0.301 0.699 0.199
Ce3 0.801 0.699 0.199
Ce4 0.699 0.301 0.801
Zn1 0.250 0.198 0.302
Zn2 0.750 0.802 0.698
Pd1 0.750 0.178 0.322
Pd2 0.250 0.822 0.678

=====

Short version: C) is the least stable of them.

=====

A) The following is a DFT calculation (PBE-GGA) of crystalline Ce2ZnPd at its relaxed geometry.

As for the volume: 22.983 Å³/atom. Its density is 8.17 g/cm³. The crystal system is tetragonal. The value obtained for the density of states at the Fermi level is 10.67 states/eV per cell. For the total magnetic moment, the calculation gives 1.37 μB per formula unit.

a = 3.737 Å, b = 3.737 Å, c = 6.582 Å
α = 90.00°, β = 90.00°, γ = 90.00°
Sites, in units of the cell vectors:
Zn1 0.500 0.500 0.500
Pd1 0.500 0.500 0.000
Ce1 0.000 0.000 0.760
Ce2 0.000 0.000 0.240

=====

B) The following is a DFT calculation (PBE-GGA) of crystalline Ce2ZnPd at its relaxed geometry.

As for the volume: 23.107 Å³/atom. Its density is 8.12 g/cm³. The crystal system is orthorhombic. The value obtained for the density of states at the Fermi level is 11.34 states/eV per cell. For the total magnetic moment, the calculation gives 1.80 μB per formula unit.

a = 4.974 Å, b = 4.974 Å, c = 3.758 Å
α = 90.02°, β = 90.02°, γ = 96.34°
Sites, in units of the cell vectors:
Ce1 0.000 0.000 0.000
Ce2 0.500 0.500 0.000
Zn1 0.000 0.500 0.500
Pd1 0.500 0.000 0.500

=====

Short version: B) is the least stable of them.